# 1
DFT (PBE) results for a geometry-optimized MnSeSN structure.

Cell: 3.5138 4.4187 4.6488 Å, 91.64 109.97 111.73°
Element x y z (fractional)
Mn (0.0000, 0.0000, 0.0000)
Se (0.6087, 0.3571, 0.8006)
S (0.6083, 0.9090, 0.3132)
N (0.5370, 0.2648, 0.3583)

* N(E_F): 0.41 states/eV/atom
* magnetization: 2.05 μB/f.u.
* total energy: -5.9995 eV/atom
* theoretical density: 4.8 g/cm³
* crystal system: triclinic
* ΔE to the lowest computed polymorph: 254 meV/atom

# 2
DFT (PBE) results for a geometry-optimized MnSeSN structure.

Cell: 2.9772 4.5388 6.2493 Å, 95.71 102.40 109.12°
Element x y z (fractional)
Mn (0.0000, 0.0000, 0.0000)
Se (0.6125, 0.4887, 0.7073)
S (0.5379, 0.8589, 0.2391)
N (0.5286, 0.1804, 0.8632)

* N(E_F): 0.60 states/eV/atom
* magnetization: 2.68 μB/f.u.
* total energy: -6.1946 eV/atom
* theoretical density: 3.9 g/cm³
* crystal system: triclinic
* ΔE to the lowest computed polymorph: 59 meV/atom

# 3
DFT (PBE) results for a geometry-optimized MnSeSN structure.

Cell: 4.6284 4.6284 6.0914 Å, 97.29 97.29 42.09°
Element x y z (fractional)
Mn (0.0000, 0.0000, 0.0000)
Se (0.6730, 0.6730, 0.2497)
S (0.4676, 0.4676, 0.7592)
N (0.8598, 0.8598, 0.1673)

* N(E_F): 0.25 states/eV/atom
* magnetization: 2.01 μB/f.u.
* total energy: -6.1283 eV/atom
* theoretical density: 3.4 g/cm³
* crystal system: monoclinic
* ΔE to the lowest computed polymorph: 125 meV/atom

# 4
DFT (PBE) results for a geometry-optimized MnSeSN structure.

Cell: 4.5810 3.5930 5.7845 Å, 90.00 95.92 90.00°
Element x y z (fractional)
Mn (0.0000, 0.0000, 0.0000)
Se (0.6000, 0.0000, 0.7001)
S (0.9865, 0.5000, 0.2119)
N (0.2697, 0.0000, 0.8255)

* N(E_F): 0.32 states/eV/atom
* magnetization: 2.03 μB/f.u.
* total energy: -6.1271 eV/atom
* theoretical density: 3.2 g/cm³
* crystal system: monoclinic
* ΔE to the lowest computed polymorph: 127 meV/atom

# 5
DFT (PBE) results for a geometry-optimized MnSeSN structure.

Cell: 3.6932 3.6932 6.1922 Å, 94.52 94.52 64.92°
Element x y z (fractional)
Mn (0.0000, 0.0000, 0.0000)
Se (0.2074, 0.2074, 0.3655)
S (0.6426, 0.6426, 0.8490)
N (0.9245, 0.9245, 0.2938)

* N(E_F): 0.26 states/eV/atom
* magnetization: 3.54 μB/f.u.
* total energy: -6.0342 eV/atom
* theoretical density: 3.9 g/cm³
* crystal system: monoclinic
* ΔE to the lowest computed polymorph: 219 meV/atom

# 6
DFT (PBE) results for a geometry-optimized MnSeS2N structure.

Cell: 4.6186 4.6186 3.4863 Å, 90.00 90.00 90.00°
Element x y z (fractional)
Mn (0.0000, 0.0000, 0.0000)
Se (0.5000, 0.5000, 0.5000)
S (0.0000, 0.5000, 0.0000)
S (0.5000, 0.0000, 0.0000)
N (0.0000, 0.0000, 0.5000)

* N(E_F): 0.86 states/eV/atom
* magnetization: 0.01 μB/f.u.
* total energy: -5.3950 eV/atom
* theoretical density: 4.7 g/cm³
* crystal system: tetragonal
* ΔE to the lowest computed polymorph: 0 meV/atom

# 7
DFT (PBE) results for a geometry-optimized MnSeSN structure.

Cell: 3.3904 3.6231 5.9655 Å, 98.03 99.72 100.30°
Element x y z (fractional)
Mn (0.0000, 0.0000, 0.0000)
Se (0.6881, 0.3150, 0.2955)
S (0.3924, 0.9319, 0.7421)
N (0.9372, 0.5271, 0.0791)

* N(E_F): 0.29 states/eV/atom
* magnetization: 2.02 μB/f.u.
* total energy: -6.1511 eV/atom
* theoretical density: 4.3 g/cm³
* crystal system: triclinic
* ΔE to the lowest computed polymorph: 103 meV/atom

# 8
DFT (PBE) results for a geometry-optimized MnSeS2N structure.

Cell: 4.8409 4.8409 3.6061 Å, 90.00 90.00 90.00°
Element x y z (fractional)
Mn (0.0000, 0.0000, 0.0000)
Se (0.5000, 0.5000, 0.5000)
S (0.0000, 0.5000, 0.5000)
S (0.5000, 0.0000, 0.5000)
N (0.5000, 0.5000, 0.0000)

* N(E_F): 0.44 states/eV/atom
* magnetization: 4.30 μB/f.u.
* total energy: -4.8438 eV/atom
* theoretical density: 4.2 g/cm³
* crystal system: tetragonal
* ΔE to the lowest computed polymorph: 551 meV/atom

# 9
DFT (PBE) results for a geometry-optimized MnSeSN structure.

Cell: 3.3932 3.6030 6.4911 Å, 97.80 99.65 100.08°
Element x y z (fractional)
Mn (0.0000, 0.0000, 0.0000)
Se (0.3865, 0.9100, 0.7283)
S (0.6821, 0.3006, 0.2381)
N (0.9249, 0.5237, 0.0791)

* N(E_F): 0.39 states/eV/atom
* magnetization: 2.10 μB/f.u.
* total energy: -6.2399 eV/atom
* theoretical density: 3.9 g/cm³
* crystal system: triclinic
* ΔE to the lowest computed polymorph: 14 meV/atom

# 10
DFT (PBE) results for a geometry-optimized MnSeSN structure.

Cell: 3.1719 3.4125 7.3513 Å, 77.89 86.75 62.33°
Element x y z (fractional)
Mn (0.0000, 0.0000, 0.0000)
Se (0.2972, 0.4638, 0.7714)
S (0.8519, 0.2179, 0.2933)
N (0.6930, 0.5865, 0.0967)

* N(E_F): 0.40 states/eV/atom
* magnetization: 2.30 μB/f.u.
* total energy: -6.2537 eV/atom
* theoretical density: 4.3 g/cm³
* crystal system: triclinic
* ΔE to the lowest computed polymorph: 0 meV/atom

# 11
DFT (PBE) results for a geometry-optimized MnSeSN structure.

Cell: 4.2397 2.8501 6.4835 Å, 90.00 98.89 90.00°
Element x y z (fractional)
Mn (0.0000, 0.0000, 0.0000)
Se (0.9644, 0.0000, 0.3446)
S (0.6018, 0.5000, 0.8491)
N (0.2610, 0.5000, 0.9351)

* N(E_F): 0.31 states/eV/atom
* magnetization: 1.98 μB/f.u.
* total energy: -6.2132 eV/atom
* theoretical density: 3.9 g/cm³
* crystal system: monoclinic
* ΔE to the lowest computed polymorph: 40 meV/atom

# 12
DFT (PBE) results for a geometry-optimized MnSiS2N structure.

Cell: 4.6903 4.6903 3.4828 Å, 90.00 90.00 90.00°
Element x y z (fractional)
Mn (0.0000, 0.0000, 0.0000)
Si (0.5000, 0.5000, 0.5000)
S (0.0000, 0.5000, 0.0000)
S (0.5000, 0.0000, 0.0000)
N (0.0000, 0.0000, 0.5000)

* N(E_F): 0.39 states/eV/atom
* magnetization: 1.79 μB/f.u.
* total energy: -5.8799 eV/atom
* theoretical density: 3.5 g/cm³
* crystal system: tetragonal
* ΔE to the lowest computed polymorph: 151 meV/atom

# 13
DFT (PBE) results for a geometry-optimized MnSiS2N structure.

Cell: 4.7879 4.7879 3.3118 Å, 90.00 90.00 90.00°
Element x y z (fractional)
Mn (0.0000, 0.0000, 0.0000)
Si (0.5000, 0.5000, 0.5000)
S (0.0000, 0.5000, 0.5000)
S (0.5000, 0.0000, 0.5000)
N (0.5000, 0.5000, 0.0000)

* N(E_F): 0.40 states/eV/atom
* magnetization: 4.74 μB/f.u.
* total energy: -6.0307 eV/atom
* theoretical density: 3.5 g/cm³
* crystal system: tetragonal
* ΔE to the lowest computed polymorph: 0 meV/atom

# 14
DFT (PBE) results for a geometry-optimized MnSnS2N structure.

Cell: 5.0808 5.0808 4.0011 Å, 90.00 90.00 90.00°
Element x y z (fractional)
Mn (0.0000, 0.0000, 0.0000)
Sn (0.5000, 0.5000, 0.5000)
S (0.0000, 0.5000, 0.5000)
S (0.5000, 0.0000, 0.5000)
N (0.5000, 0.5000, 0.0000)

* N(E_F): 0.34 states/eV/atom
* magnetization: 6.19 μB/f.u.
* total energy: -5.1681 eV/atom
* theoretical density: 4.0 g/cm³
* crystal system: tetragonal
* ΔE to the lowest computed polymorph: 774 meV/atom

# 15
DFT (PBE) results for a geometry-optimized MnSnS2N structure.

Cell: 4.8016 4.8016 3.5372 Å, 90.00 90.00 90.00°
Element x y z (fractional)
Mn (0.0000, 0.0000, 0.0000)
Sn (0.5000, 0.5000, 0.5000)
S (0.0000, 0.5000, 0.0000)
S (0.5000, 0.0000, 0.0000)
N (0.0000, 0.0000, 0.5000)

* N(E_F): 0.26 states/eV/atom
* magnetization: 1.87 μB/f.u.
* total energy: -5.9426 eV/atom
* theoretical density: 5.1 g/cm³
* crystal system: tetragonal
* ΔE to the lowest computed polymorph: 0 meV/atom

# 16
DFT (PBE) results for a geometry-optimized SrMnS2N structure.

Cell: 4.9067 4.9067 3.6348 Å, 90.00 90.00 90.00°
Element x y z (fractional)
Sr (0.0000, 0.0000, 0.0000)
Mn (0.5000, 0.5000, 0.5000)
S (0.0000, 0.5000, 0.5000)
S (0.5000, 0.0000, 0.5000)
N (0.5000, 0.5000, 0.0000)

* N(E_F): 0.48 states/eV/atom
* magnetization: 1.96 μB/f.u.
* total energy: -6.2003 eV/atom
* theoretical density: 4.2 g/cm³
* crystal system: tetragonal
* ΔE to the lowest computed polymorph: 0 meV/atom

# 17
DFT (PBE) results for a geometry-optimized SrMnS2N structure.

Cell: 5.5392 5.5392 4.7314 Å, 90.00 90.00 90.00°
Element x y z (fractional)
Sr (0.0000, 0.0000, 0.0000)
Mn (0.5000, 0.5000, 0.5000)
S (0.0000, 0.5000, 0.0000)
S (0.5000, 0.0000, 0.0000)
N (0.0000, 0.0000, 0.5000)

* N(E_F): 0.75 states/eV/atom
* magnetization: 2.03 μB/f.u.
* total energy: -4.5199 eV/atom
* theoretical density: 2.5 g/cm³
* crystal system: tetragonal
* ΔE to the lowest computed polymorph: 1680 meV/atom

# 18
DFT (PBE) results for a geometry-optimized TaMnSN2 structure.

Cell: 3.9700 3.9700 5.1298 Å, 90.00 90.00 90.00°
Element x y z (fractional)
Ta (0.0000, 0.0000, 0.0000)
Mn (0.5000, 0.5000, 0.5000)
S (0.0000, 0.0000, 0.5000)
N (0.0000, 0.5000, 0.0000)
N (0.5000, 0.0000, 0.0000)

* N(E_F): 0.42 states/eV/atom
* magnetization: 5.42 μB/f.u.
* total energy: -8.2631 eV/atom
* theoretical density: 6.1 g/cm³
* crystal system: tetragonal
* ΔE to the lowest computed polymorph: 0 meV/atom

# 19
DFT (PBE) results for a geometry-optimized TaMnSN2 structure.

Cell: 3.6640 3.6640 4.4985 Å, 90.00 90.00 90.00°
Element x y z (fractional)
Ta (0.0000, 0.0000, 0.0000)
Mn (0.5000, 0.5000, 0.5000)
S (0.5000, 0.5000, 0.0000)
N (0.0000, 0.5000, 0.5000)
N (0.5000, 0.0000, 0.5000)

* N(E_F): 0.91 states/eV/atom
* magnetization: 1.76 μB/f.u.
* total energy: -7.7448 eV/atom
* theoretical density: 8.1 g/cm³
* crystal system: tetragonal
* ΔE to the lowest computed polymorph: 518 meV/atom

# 20
DFT (PBE) results for a geometry-optimized MnTcS2N structure.

Cell: 4.7597 4.7597 3.6750 Å, 90.00 90.00 90.00°
Element x y z (fractional)
Mn (0.0000, 0.0000, 0.0000)
Tc (0.5000, 0.5000, 0.5000)
S (0.0000, 0.5000, 0.5000)
S (0.5000, 0.0000, 0.5000)
N (0.5000, 0.5000, 0.0000)

* N(E_F): 1.16 states/eV/atom
* magnetization: 0.42 μB/f.u.
* total energy: -6.3757 eV/atom
* theoretical density: 4.6 g/cm³
* crystal system: tetragonal
* ΔE to the lowest computed polymorph: 259 meV/atom

# 21
DFT (PBE) results for a geometry-optimized MnTcS2N structure.

Cell: 4.6507 4.6507 3.4244 Å, 90.00 90.00 90.00°
Element x y z (fractional)
Mn (0.0000, 0.0000, 0.0000)
Tc (0.5000, 0.5000, 0.5000)
S (0.0000, 0.5000, 0.0000)
S (0.5000, 0.0000, 0.0000)
N (0.0000, 0.0000, 0.5000)

* N(E_F): 0.93 states/eV/atom
* magnetization: 4.41 μB/f.u.
* total energy: -6.6349 eV/atom
* theoretical density: 5.2 g/cm³
* crystal system: tetragonal
* ΔE to the lowest computed polymorph: 0 meV/atom

# 22
DFT (PBE) results for a geometry-optimized Mn2TeSN structure.

Cell: 3.8034 3.8034 6.7026 Å, 90.00 90.00 90.00°
Element x y z (fractional)
Mn (0.0000, 0.5000, 0.0000)
Mn (0.5000, 0.0000, 0.0000)
Te (0.0000, 0.0000, 0.5000)
S (0.5000, 0.5000, 0.5000)
N (0.5000, 0.5000, 0.0000)

* N(E_F): 0.98 states/eV/atom
* magnetization: 6.66 μB/f.u.
* total energy: -6.4289 eV/atom
* theoretical density: 4.9 g/cm³
* crystal system: tetragonal

# 23
DFT (PBE) results for a geometry-optimized TiMnS2N structure.

Cell: 4.6215 4.6215 3.4543 Å, 90.00 90.00 90.00°
Element x y z (fractional)
Ti (0.0000, 0.0000, 0.0000)
Mn (0.5000, 0.5000, 0.5000)
S (0.0000, 0.5000, 0.5000)
S (0.5000, 0.0000, 0.5000)
N (0.5000, 0.5000, 0.0000)

* N(E_F): 1.04 states/eV/atom
* magnetization: 1.03 μB/f.u.
* total energy: -6.7842 eV/atom
* theoretical density: 4.1 g/cm³
* crystal system: tetragonal
* ΔE to the lowest computed polymorph: 38 meV/atom

# 24
DFT (PBE) results for a geometry-optimized TiMnS2N structure.

Cell: 4.8198 4.8198 3.7743 Å, 90.00 90.00 90.00°
Element x y z (fractional)
Ti (0.0000, 0.0000, 0.0000)
Mn (0.5000, 0.5000, 0.5000)
S (0.0000, 0.5000, 0.0000)
S (0.5000, 0.0000, 0.0000)
N (0.0000, 0.0000, 0.5000)

* N(E_F): 0.44 states/eV/atom
* magnetization: 4.16 μB/f.u.
* total energy: -6.8227 eV/atom
* theoretical density: 3.4 g/cm³
* crystal system: tetragonal
* ΔE to the lowest computed polymorph: 0 meV/atom

# 25
DFT (PBE) results for a geometry-optimized MnTlS2N structure.

Cell: 5.2340 5.2340 4.1931 Å, 90.00 90.00 90.00°
Element x y z (fractional)
Mn (0.0000, 0.0000, 0.0000)
Tl (0.5000, 0.5000, 0.5000)
S (0.0000, 0.5000, 0.5000)
S (0.5000, 0.0000, 0.5000)
N (0.5000, 0.5000, 0.0000)

* N(E_F): 0.45 states/eV/atom
* magnetization: 6.91 μB/f.u.
* total energy: -4.3251 eV/atom
* theoretical density: 4.9 g/cm³
* crystal system: tetragonal
* ΔE to the lowest computed polymorph: 1169 meV/atom

# 26
DFT (PBE) results for a geometry-optimized MnTlSN2 structure.

Cell: 3.7219 3.7219 5.1353 Å, 90.00 90.00 90.00°
Element x y z (fractional)
Mn (0.0000, 0.0000, 0.0000)
Tl (0.5000, 0.5000, 0.5000)
S (0.0000, 0.0000, 0.5000)
N (0.0000, 0.5000, 0.0000)
N (0.5000, 0.0000, 0.0000)

* N(E_F): 0.37 states/eV/atom
* magnetization: 0.00 μB/f.u.
* total energy: -5.8899 eV/atom
* theoretical density: 7.5 g/cm³
* crystal system: tetragonal
* ΔE to the lowest computed polymorph: 0 meV/atom

# 27
DFT (PBE) results for a geometry-optimized MnTlS2N structure.

Cell: 4.8679 4.8679 3.5588 Å, 90.00 90.00 90.00°
Element x y z (fractional)
Mn (0.0000, 0.0000, 0.0000)
Tl (0.5000, 0.5000, 0.5000)
S (0.0000, 0.5000, 0.0000)
S (0.5000, 0.0000, 0.0000)
N (0.0000, 0.0000, 0.5000)

* N(E_F): 0.63 states/eV/atom
* magnetization: 1.58 μB/f.u.
* total energy: -5.4938 eV/atom
* theoretical density: 6.6 g/cm³
* crystal system: tetragonal
* ΔE to the lowest computed polymorph: 0 meV/atom

# 28
DFT (PBE) results for a geometry-optimized MnTlSN2 structure.

Cell: 4.1941 4.1941 5.7879 Å, 90.00 90.00 90.00°
Element x y z (fractional)
Mn (0.0000, 0.0000, 0.0000)
Tl (0.5000, 0.5000, 0.5000)
S (0.5000, 0.5000, 0.0000)
N (0.0000, 0.5000, 0.5000)
N (0.5000, 0.0000, 0.5000)

* N(E_F): 0.52 states/eV/atom
* magnetization: 7.54 μB/f.u.
* total energy: -4.6433 eV/atom
* theoretical density: 5.2 g/cm³
* crystal system: tetragonal
* ΔE to the lowest computed polymorph: 1247 meV/atom

# 29
DFT (PBE) results for a geometry-optimized MnVS2N structure.

Cell: 4.5793 4.5793 3.4155 Å, 90.00 90.00 90.00°
Element x y z (fractional)
Mn (0.0000, 0.0000, 0.0000)
V (0.5000, 0.5000, 0.5000)
S (0.0000, 0.5000, 0.0000)
S (0.5000, 0.0000, 0.0000)
N (0.0000, 0.0000, 0.5000)

* N(E_F): 1.81 states/eV/atom
* magnetization: 0.58 μB/f.u.
* total energy: -6.6091 eV/atom
* theoretical density: 4.3 g/cm³
* crystal system: tetragonal
* ΔE to the lowest computed polymorph: 361 meV/atom